1.
A relaxed structure of YCu2As2. Source: the Alexandria database, functional PBE.

Calculated values
The value obtained for the spin magnetization is 0.0 Bohr magnetons per cell. For the formation energy, the calculation gives -222 meV per atom. For the density, the calculation gives 6.8 Mg/m³.

Geometry as POSCAR:
```
YCu2As2
1.0
7.5195 0.0000 0.0000
0.0000 7.5195 0.0000
0.0000 0.0000 3.1522
Y Cu As
2 4 4
Cartesian
0.0000 0.0000 0.0000
3.7597 3.7597 0.0000
1.0013 2.7584 1.5761
2.7584 6.5182 1.5761
4.7610 1.0013 1.5761
6.5182 4.7610 1.5761
1.1677 4.9274 0.0000
2.5920 1.1677 0.0000
4.9274 6.3518 0.0000
6.3518 2.5920 0.0000
```

2.
A relaxed structure of BiSbTe2As. Source: the Alexandria database, functional PBE.

Calculated values
The value obtained for the spin magnetization is 0.7 Bohr magnetons per cell. Its polymorph energy (0 for the lowest one) is 56.7 kJ/mol of atoms. For the density, the calculation gives 5.3 Mg/m³.

Geometry as POSCAR:
```
BiSbTe2As
1.0
5.9064 0.0000 0.0000
0.0000 5.9064 0.0000
0.0000 0.0000 5.8911
Bi Sb Te As
1 1 2 1
Cartesian
0.0000 0.0000 0.0000
0.0000 0.0000 2.9455
0.0000 2.9532 0.0000
2.9532 0.0000 0.0000
2.9532 2.9532 2.9455
```

3.
A relaxed structure of SrSi2Rh. Source: the Alexandria database, functional PBE.

Calculated values
The value obtained for the spin magnetization is 0.0 Bohr magnetons per cell. The total energy comes out at -0.38563 Ry per atom. For the density, the calculation gives 5.5 Mg/m³.

Geometry as POSCAR:
```
SrSi2Rh
1.0
3.2440 0.0000 0.0000
0.0000 3.2440 0.0000
0.0000 0.0000 7.0934
Sr Si Rh
1 2 1
Cartesian
0.0000 0.0000 0.0000
0.0000 0.0000 3.4538
1.6220 1.6220 4.8614
1.6220 1.6220 2.4245
```

4.
A relaxed structure of DyZn9Rh2. Source: the Alexandria database, functional PBE.

Calculated values
The value obtained for the spin magnetization is 0.0 Bohr magnetons per cell. For the formation energy, the calculation gives -261 meV per atom. For the density, the calculation gives 8.2 Mg/m³.

Geometry as POSCAR:
```
DyZn9Rh2
1.0
8.6304 0.0000 0.0000
-4.3152 7.4741 0.0000
0.0000 0.0000 3.0210
Dy Zn Rh
1 9 2
Cartesian
0.0000 0.0000 0.0000
-2.1576 3.7371 0.0000
0.0000 2.7722 1.5105
-1.9144 6.0880 1.5105
2.4008 1.3861 1.5105
4.3152 0.0000 0.0000
2.1576 3.7371 0.0000
1.9144 6.0880 1.5105
6.2296 1.3861 1.5105
4.3152 4.7019 1.5105
0.0000 4.9828 0.0000
4.3152 2.4914 0.0000
```

5.
A relaxed structure of Ac2EuHg. Source: the Alexandria database, functional PBE.

Calculated values
The value obtained for the spin magnetization is 7.2 Bohr magnetons per cell. For the formation energy, the calculation gives -87 meV per atom. Its polymorph energy (0 for the lowest one) is 12.6 kJ/mol of atoms. For the density, the calculation gives 9.2 Mg/m³.

Geometry as POSCAR:
```
Ac2EuHg
1.0
0.0000 4.1744 4.1744
4.1744 0.0000 4.1744
4.1744 4.1744 0.0000
Ac Eu Hg
2 1 1
Cartesian
2.0872 2.0872 2.0872
6.2616 6.2616 6.2616
0.0000 0.0000 0.0000
4.1744 4.1744 4.1744
```

6.
A relaxed structure of Fe2TcAs. Source: the Alexandria database, functional PBE.

Calculated values
The value obtained for the spin magnetization is 3.3 Bohr magnetons per cell. For the formation energy, the calculation gives 105 meV per atom. Its polymorph energy (0 for the lowest one) is 6.3 kJ/mol of atoms. For the density, the calculation gives 9.1 Mg/m³.

Geometry as POSCAR:
```
Fe2TcAs
1.0
2.7874 0.0000 0.0000
0.0000 4.1154 0.0000
0.0000 0.0000 4.5437
Fe Tc As
2 1 1
Cartesian
0.0000 0.0000 0.0000
0.0000 2.0577 1.2469
1.3937 2.0577 3.5606
1.3937 0.0000 2.0187
```

7.
A relaxed structure of TaIn2Ir. Source: the Alexandria database, functional PBE.

Calculated values
The value obtained for the spin magnetization is 0.0 Bohr magnetons per cell. For the formation energy, the calculation gives 300 meV per atom. Its polymorph energy (0 for the lowest one) is 41.2 kJ/mol of atoms. For the density, the calculation gives 13.3 Mg/m³.

Geometry as POSCAR:
```
TaIn2Ir
1.0
-2.0652 2.0652 4.3964
2.0652 -2.0652 4.3964
2.0652 2.0652 -4.3964
Ta In Ir
1 2 1
Cartesian
0.0000 0.0000 0.0000
2.0652 0.0000 2.1982
0.0000 2.0652 2.1982
0.0000 0.0000 4.3964
```

8.
A relaxed structure of Sr5La3H12. Source: the Alexandria database, functional PBE.

Calculated values
The value obtained for the spin magnetization is 11.2 Bohr magnetons per cell. The total energy comes out at -0.26055 Ry per atom. For the density, the calculation gives 4.0 Mg/m³.

Geometry as POSCAR:
```
Sr5La3H12
1.0
-7.1339 7.1339 7.1339
7.1339 -7.1339 7.1339
7.1339 7.1339 -7.1339
Sr La H
20 12 48
Cartesian
0.0000 0.0000 0.0000
3.5669 3.5669 -3.5669
3.5669 -3.5669 3.5669
7.1339 0.0000 0.0000
10.7008 1.7835 0.0000
7.1339 -3.5669 5.3504
5.3504 7.1339 -3.5669
5.3504 0.0000 3.5669
3.5669 5.3504 0.0000
7.1339 3.5669 1.7835
-3.5669 3.5669 3.5669
0.0000 7.1339 0.0000
0.0000 0.0000 7.1339
3.5669 3.5669 3.5669
0.0000 3.5669 5.3504
3.5669 1.7835 7.1339
1.7835 7.1339 3.5669
1.7835 0.0000 10.7008
0.0000 10.7008 1.7835
-3.5669 5.3504 7.1339
3.5669 1.7835 0.0000
7.1339 3.5669 -1.7835
1.7835 0.0000 3.5669
8.9173 0.0000 3.5669
0.0000 3.5669 1.7835
3.5669 -1.7835 7.1339
3.5669 8.9173 0.0000
7.1339 3.5669 5.3504
-1.7835 7.1339 3.5669
5.3504 7.1339 3.5669
0.0000 3.5669 8.9173
3.5669 5.3504 7.1339
2.2427 -0.0476 1.0518
8.4581 4.6187 -3.6146
9.3766 0.0476 1.0518
8.4581 -2.5152 3.6146
7.0862 -1.0518 2.2427
10.7484 -1.3242 2.5152
1.0518 2.2427 -0.0476
9.6490 3.5193 -1.3242
4.6187 3.6146 -1.3242
6.0821 2.2427 0.0476
-0.0476 1.0518 2.2427
3.6146 -1.3242 4.6187
7.0862 6.0821 -2.2427
3.6146 1.3242 2.5152
4.6187 -3.6146 8.4581
6.0821 -2.2427 7.0862
2.5152 3.6146 1.3242
8.1856 4.8912 0.0476
3.6146 8.4581 -2.5152
7.0862 1.0518 4.8912
2.2427 7.0862 -1.0518
8.4581 2.5152 3.5193
1.3242 2.5152 3.6146
2.2427 0.0476 6.0821
4.8912 7.0862 1.0518
5.8096 4.6187 3.5193
-1.3242 4.6187 3.6146
4.8912 0.0476 8.1856
0.0476 6.0821 2.2427
3.5193 -1.3242 9.6490
-1.0518 2.2427 7.0862
4.6187 3.5193 5.8096
1.0518 9.3766 0.0476
2.5152 10.7484 -1.3242
3.5193 5.8096 4.6187
0.0476 1.0518 9.3766
3.5193 8.4581 2.5152
7.1815 6.0821 4.8912
1.0518 4.8912 7.0862
2.5152 3.5193 8.4581
-2.5152 3.6146 8.4581
6.0821 4.8912 7.1815
-3.6146 8.4581 4.6187
0.0476 8.1856 4.8912
-1.3242 9.6490 3.5193
-2.2427 7.0862 6.0821
-1.3242 2.5152 10.7484
4.8912 7.1815 6.0821
```

9.
A relaxed structure of LiSc. Source: the Alexandria database, functional PBE.

Calculated values
The value obtained for the spin magnetization is 0.1 Bohr magnetons per cell. For the formation energy, the calculation gives 214 meV per atom. Its polymorph energy (0 for the lowest one) is 11.8 kJ/mol of atoms. For the density, the calculation gives 1.9 Mg/m³.

Geometry as POSCAR:
```
LiSc
1.0
3.1387 0.0000 0.0000
-1.5693 2.7182 0.0000
0.0000 0.0000 5.2836
Li Sc
1 1
Cartesian
0.0000 0.0000 0.0000
1.5693 0.9061 2.6418
```

10.
A relaxed structure of CdAg2Br. Source: the Alexandria database, functional PBE.

Calculated values
The value obtained for the spin magnetization is 0.0 Bohr magnetons per cell. Its polymorph energy (0 for the lowest one) is 5.3 kJ/mol of atoms. For the density, the calculation gives 7.6 Mg/m³.

Geometry as POSCAR:
```
CdAg2Br
1.0
3.5514 0.0000 0.0000
0.0000 3.5514 0.0000
0.0000 0.0000 7.0343
Cd Ag Br
1 2 1
Cartesian
0.0000 0.0000 0.0000
0.0000 0.0000 2.9706
1.7757 1.7757 1.4362
1.7757 1.7757 4.7013
```

11.
A relaxed structure of Li2MgGe. Source: the Alexandria database, functional PBE.

Calculated values
The value obtained for the spin magnetization is 0.0 Bohr magnetons per cell. For the formation energy, the calculation gives -10 meV per atom. For the density, the calculation gives 2.4 Mg/m³.

Geometry as POSCAR:
```
Li2MgGe
1.0
-3.7705 3.7705 2.7226
3.7705 -3.7705 2.7226
3.7705 3.7705 -2.7226
Li Mg Ge
4 2 2
Cartesian
5.6558 1.6422 -0.6806
1.6422 1.8853 0.6806
-1.8853 2.1283 2.0419
2.1283 1.8853 3.4032
3.7705 0.0000 1.3613
0.0000 0.0000 2.7226
0.0000 0.0000 0.0000
0.0000 3.7705 1.3613
```

12.
A relaxed structure of Al2InSbO8. Source: the Alexandria database, functional PBE.

Calculated values
The value obtained for the spin magnetization is 1.9 Bohr magnetons per cell. The total energy comes out at -0.46324 Ry per atom. For the density, the calculation gives 5.2 Mg/m³.

Geometry as POSCAR:
```
Al2InSbO8
1.0
3.2453 -3.2758 0.0000
3.2453 3.2758 0.0000
0.0000 0.0000 6.2370
Al In Sb O
2 1 1 8
Cartesian
0.0000 0.0000 1.4867
0.0000 0.0000 4.7503
3.2453 0.0000 3.1185
3.2453 0.0000 0.0000
3.2453 2.1921 3.1185
3.2453 2.0265 0.0000
1.8910 0.0000 1.4700
1.8910 0.0000 4.7670
4.5997 0.0000 1.4700
4.5997 0.0000 4.7670
3.2453 -2.0265 0.0000
3.2453 -2.1921 3.1185
```